Record 1
Material: InAgPtSeS2
Method: DFT, PBE-GGA
State: optimized geometry

Values from the calculation:
total DFT energy (no corrections)	-4.141	eV per atom

The structure in CIF format:
```
data_InAgPtSeS2
_chemical_formula_sum 'In4 Ag4 Pt4 Se4 S8'
_space_group_name_H-M_alt 'C m c m'
_space_group_IT_number 63
_space_group_name_Hall '-C 2c 2'
_cell_length_a 3.6374
_cell_length_b 13.0421
_cell_length_c 10.7369
_cell_angle_alpha 90.00
_cell_angle_beta 90.00
_cell_angle_gamma 90.00
loop_
_atom_site_label
_atom_site_fract_x
_atom_site_fract_y
_atom_site_fract_z
_atom_site_occupancy
In1 0.0000 0.1685 0.2500 1
Ag1 0.0000 0.1621 0.7500 1
Pt1 0.0000 0.5000 0.0000 1
Se1 0.0000 0.4920 0.7500 1
S1 0.0000 0.1199 0.5063 1
```

Record 2
Material: Er4Zn3Co2
Method: DFT, PBE-GGA
State: optimized geometry

Values from the calculation:
energy of formation from the pure elements	-0.3155	eV/atom

The structure in CIF format:
```
data_Er4Zn3Co2
_chemical_formula_sum 'Er4 Zn3 Co2'
_space_group_name_H-M_alt 'P 1 2/m 1'
_space_group_IT_number 10
_space_group_name_Hall '-P 2y'
_cell_length_a 6.9327
_cell_length_b 3.6117
_cell_length_c 7.5242
_cell_angle_alpha 90.00
_cell_angle_beta 106.73
_cell_angle_gamma 90.00
loop_
_atom_site_label
_atom_site_fract_x
_atom_site_fract_y
_atom_site_fract_z
_atom_site_occupancy
Er1 0.0847 0.0000 0.2227 1
Er2 0.3945 0.0000 0.7046 1
Zn1 0.0000 0.5000 0.5000 1
Zn2 0.3033 0.5000 0.0176 1
Co1 0.3446 0.5000 0.3951 1
```

Record 3
Material: SrDyS2
Method: DFT, PBE-GGA
State: optimized geometry

Values from the calculation:
total DFT energy (no corrections)	-5.610	eV per atom

The structure in CIF format:
```
data_SrDyS2
_chemical_formula_sum 'Sr1 Dy1 S2'
_space_group_name_H-M_alt 'P 4/m m m'
_space_group_IT_number 123
_space_group_name_Hall '-P 4 2'
_cell_length_a 4.0651
_cell_length_b 4.0651
_cell_length_c 5.7399
_cell_angle_alpha 90.00
_cell_angle_beta 90.00
_cell_angle_gamma 90.00
loop_
_atom_site_label
_atom_site_fract_x
_atom_site_fract_y
_atom_site_fract_z
_atom_site_occupancy
Sr1 0.0000 0.0000 0.0000 1
Dy1 0.5000 0.5000 0.5000 1
S1 0.0000 0.0000 0.5000 1
S2 0.5000 0.5000 0.0000 1
```

Which formula does entry 3 have?
SrDyS2

What did the first record say?
Material: InAgPtSeS2
Method: DFT, PBE-GGA
State: optimized geometry

Values from the calculation:
total DFT energy (no corrections)	-4.141	eV per atom

The structure in CIF format:
```
data_InAgPtSeS2
_chemical_formula_sum 'In4 Ag4 Pt4 Se4 S8'
_space_group_name_H-M_alt 'C m c m'
_space_group_IT_number 63
_space_group_name_Hall '-C 2c 2'
_cell_length_a 3.6374
_cell_length_b 13.0421
_cell_length_c 10.7369
_cell_angle_alpha 90.00
_cell_angle_beta 90.00
_cell_angle_gamma 90.00
loop_
_atom_site_label
_atom_site_fract_x
_atom_site_fract_y
_atom_site_fract_z
_atom_site_occupancy
In1 0.0000 0.1685 0.2500 1
Ag1 0.0000 0.1621 0.7500 1
Pt1 0.0000 0.5000 0.0000 1
Se1 0.0000 0.4920 0.7500 1
S1 0.0000 0.1199 0.5063 1
```